Record 1
Here is ZrScPt at its PBEsol-relaxed geometry from Alexandria via LeMat-Bulk. Energies are from SCAN.

The structure in extended XYZ format:
```
3
Lattice="4.4876 0.0000 0.0000 -2.2438 3.8864 0.0000 0.0000 0.0000 3.2867" Properties=species:S:1:pos:R:3 pbc="T T T"
Zr 0.0000 0.0000 0.0000
Sc 0.0000 2.5909 1.9097
Pt 2.2438 1.2955 0.9271
```

Output
- symmetry = No. 156
- formation enthalpy at 0 K (meV/atom) = -786

***

Record 2
Here is ZrSc2Pt2 at its PBEsol-relaxed geometry from Alexandria via LeMat-Bulk. Energies are from SCAN.

The structure in extended XYZ format:
```
10
Lattice="7.2170 0.0000 0.0000 0.0000 7.2170 0.0000 0.0000 0.0000 3.6793" Properties=species:S:1:pos:R:3 pbc="T T T"
Zr 0.0000 0.0000 0.0000
Zr 3.6085 3.6085 0.0000
Sc 1.1729 2.4356 1.8397
Sc 2.4356 6.0441 1.8397
Sc 4.7814 1.1729 1.8397
Sc 6.0441 4.7814 1.8397
Pt 0.9895 4.5980 0.0000
Pt 2.6189 0.9895 0.0000
Pt 4.5980 6.2274 0.0000
Pt 6.2274 2.6189 0.0000
```

Output
- symmetry = No. 127
- formation enthalpy at 0 K (meV/atom) = -1181

***

What VASP energy values result from the calculations? In sequence: -39.162; -41.093 eV per atom.